This record from Alexandria via LeMat-Bulk describes crystalline DyTc2Ge2P at its relaxed geometry. The functional is GGA-PBE.

abc: 4.4612 4.4612 5.4942
angles: 90.00 90.00 90.00
Fractional coordinates of all 6 atoms:
Dy: 0.0000 0.0000 0.5000
Tc: 0.5000 0.0000 0.0000
Tc: 0.0000 0.5000 0.0000
Ge: 0.5000 0.5000 0.7229
Ge: 0.5000 0.5000 0.2771
P: 0.0000 0.0000 0.0000

Properties
Energy relative to the elements   -0.337 eV per atom
Total moment   0.00 μB/f.u.
SG   P4/mmm (123)